(1)
A plane-wave DFT calculation with PBE was carried out for crystalline ZrBr4 at its relaxed geometry.

Output
symmetry	Fdd2
mass density	4.2	g/cm3
total DFT energy (no corrections)	-43.5	eV/cell

abc: 7.7756 7.2381 8.8777
angles: 56.60 51.00 72.40
Closest atoms and distances in Å follow each position.
Sites, in units of the cell vectors:
Zr 0.7365 0.7365 0.2635  4 Br 2.48-2.72
Zr 0.9865 0.9865 0.5135  4 Br 2.48-2.72
Br 0.5886 0.5008 0.2400  1 Zr 2.48
Br 0.5794 0.0100 0.7492  1 Zr 2.48
Br 0.9845 0.0376 0.1870  2 Zr 2.72-2.86
Br 0.0100 0.5794 0.6614  1 Zr 2.48
Br 0.5008 0.5886 0.6706  1 Zr 2.48
Br 0.4591 0.0630 0.2124  2 Zr 2.72-2.86
Br 0.0630 0.4591 0.2655  2 Zr 2.72-2.86
Br 0.0376 0.9845 0.7909  2 Zr 2.72-2.86

---

(2)
A plane-wave DFT calculation with PBE was carried out for crystalline ZrBr at its relaxed geometry.

Output
symmetry	P-6m2
mass density	6.7	g/cm3
energy relative to the lowest polymorph listed for this composition	0.623	eV per atom

abc: 3.3486 3.3486 4.3888
angles: 90.00 90.00 120.00
Closest atoms and distances in Å follow each position.
Sites, in units of the cell vectors:
Zr 0.3333 0.6667 0.2500  6 Br 2.92
Br 0.6667 0.3333 0.7500  6 Zr 2.92

---

(3)
A plane-wave DFT calculation with PBE was carried out for crystalline ZrBr4 at its relaxed geometry.

Output
symmetry	P2/m
mass density	4.1	g/cm3
total DFT energy (no corrections)	-43.4	eV/cell

abc: 7.4809 7.4809 8.9331
angles: 124.72 124.72 63.34
Closest atoms and distances in Å follow each position.
Sites, in units of the cell vectors:
Zr 0.2499 0.7501 0.0000  6 Br 2.55-2.72
Zr 0.7501 0.2499 0.0000  6 Br 2.55-2.72
Br 0.6985 0.6985 0.1714  2 Zr 2.72
Br 0.1986 0.1986 0.1715  2 Zr 2.72
Br 0.2266 0.7271 0.6938  1 Zr 2.55
Br 0.8014 0.8014 0.8285  2 Zr 2.72
Br 0.2729 0.7734 0.3062  1 Zr 2.55
Br 0.3015 0.3015 0.8286  2 Zr 2.72
Br 0.7271 0.2266 0.6938  1 Zr 2.55
Br 0.7734 0.2729 0.3062  1 Zr 2.55

---

(4)
A plane-wave DFT calculation with PBE was carried out for crystalline Cd14C at its relaxed geometry.

Output
symmetry	R-3m
mass density	7.5	g/cm3
total DFT energy (no corrections)	-16.2	eV/cell

abc: 7.1783 7.1783 7.1783
angles: 78.46 78.46 78.46
Closest atoms and distances in Å follow each position.
Sites, in units of the cell vectors:
Cd 0.2917 0.2917 0.9246  5 Cd 2.95-3.26
Cd 0.6792 0.3208 0.0000  9 Cd 2.91-3.25
Cd 0.7083 0.0754 0.7083  5 Cd 2.95-3.26
Cd 0.6792 0.0000 0.3208  9 Cd 2.91-3.25
Cd 0.0754 0.7083 0.7083  5 Cd 2.95-3.26
Cd 0.9246 0.2917 0.2917  5 Cd 2.95-3.26
Cd 0.3208 0.0000 0.6792  9 Cd 2.91-3.25
Cd 0.3208 0.6792 0.0000  9 Cd 2.91-3.25
Cd 0.0000 0.3208 0.6792  9 Cd 2.91-3.25
Cd 0.6518 0.6518 0.6518  1 C 2.23
Cd 0.0000 0.6792 0.3208  9 Cd 2.91-3.25
Cd 0.3482 0.3482 0.3482  1 C 2.23
Cd 0.7083 0.7083 0.0754  5 Cd 2.95-3.26
Cd 0.2917 0.9246 0.2917  5 Cd 2.95-3.26
C 0.5000 0.5000 0.5000  2 Cd 2.23

---

(5)
A plane-wave DFT calculation with PBE was carried out for crystalline Cd5C at its relaxed geometry.

Output
symmetry	P6/mmm
mass density	7.0	g/cm3
total DFT energy (no corrections)	-7.0	eV/cell

abc: 5.4684 5.4684 5.2616
angles: 90.00 90.00 120.00
Closest atoms and distances in Å follow each position.
Sites, in units of the cell vectors:
Cd 0.3333 0.6667 0.0000  9 Cd 3.07-3.16, 3 C 3.16
Cd 0.0000 0.5000 0.5000  4 Cd 2.73
Cd 0.6667 0.3333 0.0000  9 Cd 3.07-3.16, 3 C 3.16
Cd 0.5000 0.5000 0.5000  4 Cd 2.73
Cd 0.5000 0.0000 0.5000  4 Cd 2.73
C 0.0000 0.0000 0.0000  6 Cd 3.16

---

(6)
A plane-wave DFT calculation with PBE was carried out for crystalline CdC at its relaxed geometry.

Output
symmetry	R-3m
mass density	7.3	g/cm3
energy relative to the lowest polymorph listed for this composition	0.001	eV per atom

abc: 3.4465 3.4465 3.4465
angles: 58.84 58.84 58.84
Closest atoms and distances in Å follow each position.
Sites, in units of the cell vectors:
Cd 0.5000 0.5000 0.5000  6 C 2.42
C 0.0000 0.0000 0.0000  6 Cd 2.42

---

(7)
A plane-wave DFT calculation with PBE was carried out for crystalline CdC2 at its relaxed geometry.

Output
symmetry	Fd-3m
mass density	6.6	g/cm3
energy relative to the lowest polymorph listed for this composition	0.802	eV per atom

abc: 4.6052 4.6052 4.6052
angles: 60.00 60.00 60.00
Closest atoms and distances in Å follow each position.
Sites, in units of the cell vectors:
C 0.1250 0.6250 0.6250  6 C 2.30
C 0.6250 0.1250 0.6250  6 C 2.30
C 0.6250 0.6250 0.1250  6 C 2.30
C 0.6250 0.6250 0.6250  6 C 2.30
Cd 0.2500 0.2500 0.2500  12 C 2.70, 4 Cd 2.82
Cd 0.0000 0.0000 0.0000  12 C 2.70, 4 Cd 2.82

---

(8)
A plane-wave DFT calculation with PBE was carried out for crystalline CdC2 at its relaxed geometry.

Output
symmetry	I4/mmm
mass density	6.4	g/cm3
energy relative to the lowest polymorph listed for this composition	0.000	eV per atom

abc: 5.9562 5.9562 5.9562
angles: 155.77 155.77 34.53
Closest atoms and distances in Å follow each position.
Sites, in units of the cell vectors:
C 0.7529 0.7529 0.0000  4 C 1.77
C 0.2471 0.2471 0.0000  4 C 1.77
Cd 0.0000 0.0000 0.0000  4 Cd 2.50

---

- Which formula does entry 2 have?
  ZrBr

---

What did the sixth record say?
A plane-wave DFT calculation with PBE was carried out for crystalline CdC at its relaxed geometry.

Output
symmetry	R-3m
mass density	7.3	g/cm3
energy relative to the lowest polymorph listed for this composition	0.001	eV per atom

abc: 3.4465 3.4465 3.4465
angles: 58.84 58.84 58.84
Closest atoms and distances in Å follow each position.
Sites, in units of the cell vectors:
Cd 0.5000 0.5000 0.5000  6 C 2.42
C 0.0000 0.0000 0.0000  6 Cd 2.42

---

- The lowest mass density belongs to which entry?
  number 3

---

- Look up the mass density of the third one.
  4.1 g/cm3